(1)
DFT (PBE) results for a geometry-optimized Be2Nb2Sn structure.

Cell: 3.502 11.886 3.553 Å, 90.00 90.00 90.00°
Space group Cmmm (No. 65)
Unique sites:
Be  0.000  0.205  0.000 [4 per cell]
Nb  0.000  0.356  0.500 [4 per cell]
Sn  0.000  0.000  0.000 [2 per cell]

Computed properties:
- size of the total moment (μB per formula unit) = 0.00
- offset from the most stable computed form (meV per atom) = 0
- DFT formation energy (eV/atom) = -0.199



(2)
DFT (PBE) results for a geometry-optimized Rb3LiCu2Cl6 structure.

Cell: 7.3831 7.3831 8.3952 Å, 90.00 90.00 120.00°
Space group P-3m1 (No. 164)
Unique sites:
Rb  0.0000  0.0000  0.0000 [1 per cell]
Rb  0.3333  0.6667  0.6698 [2 per cell]
Li  0.0000  0.0000  0.5000 [1 per cell]
Cu  0.3333  0.6667  0.2814 [2 per cell]
Cl  0.1602  0.3204  0.3003 [6 per cell]

Computed properties:
- total energy (eV per atom) = -3.37
- size of the total moment (μB per formula unit) = 0.06



(3)
DFT (PBE) results for a geometry-optimized Tm2Si4NiPt3 structure.

Cell: 4.089 4.089 9.975 Å, 90.00 90.00 90.00°
Space group P-4m2 (No. 115)
Unique sites:
Tm  0.000  0.500  0.242 [2 per cell]
Si  0.000  0.000  0.500 [1 per cell]
Si  0.000  0.500  0.871 [2 per cell]
Si  0.500  0.500  0.500 [1 per cell]
Ni  0.500  0.500  0.000 [1 per cell]
Pt  0.000  0.000  0.000 [1 per cell]
Pt  0.000  0.500  0.631 [2 per cell]

Computed properties:
- total energy (eV per atom) = -6.46
- size of the total moment (μB per formula unit) = 0.00



(4)
DFT (PBE) results for a geometry-optimized RbCuSCl2 structure.

Cell: 5.207 5.207 4.468 Å, 90.00 90.00 90.00°
Space group P4/mmm (No. 123)
Unique sites:
Rb  0.000  0.000  0.000 [1 per cell]
Cu  0.500  0.500  0.500 [1 per cell]
S  0.500  0.500  0.000 [1 per cell]
Cl  0.000  0.500  0.500 [2 per cell]

Computed properties:
- size of the total moment (μB per formula unit) = 1.27
- offset from the most stable computed form (meV per atom) = 0



- Which of these has the highest size of the total moment?
  RbCuSCl2



Copy entry 3 word for word.
DFT (PBE) results for a geometry-optimized Tm2Si4NiPt3 structure.

Cell: 4.089 4.089 9.975 Å, 90.00 90.00 90.00°
Space group P-4m2 (No. 115)
Unique sites:
Tm  0.000  0.500  0.242 [2 per cell]
Si  0.000  0.000  0.500 [1 per cell]
Si  0.000  0.500  0.871 [2 per cell]
Si  0.500  0.500  0.500 [1 per cell]
Ni  0.500  0.500  0.000 [1 per cell]
Pt  0.000  0.000  0.000 [1 per cell]
Pt  0.000  0.500  0.631 [2 per cell]

Computed properties:
- total energy (eV per atom) = -6.46
- size of the total moment (μB per formula unit) = 0.00



- The highest size of the total moment belongs to which entry?
  RbCuSCl2